[1]
# H4Pt, optimized geometry, DFT GGA-PBE
# ΔE to the lowest computed polymorph = 452 meV per atom
data_H4Pt
_symmetry_space_group_name_H-M 'P m -3 m'
_symmetry_Int_Tables_number 221
_symmetry_space_group_name_Hall '-P 4 2 3'
_cell_length_a 3.433
_cell_length_b 3.433
_cell_length_c 3.433
_cell_angle_alpha 90.00
_cell_angle_beta 90.00
_cell_angle_gamma 90.00
loop_
_atom_site_label
_atom_site_type_symbol
_atom_site_fract_x
_atom_site_fract_y
_atom_site_fract_z
H1 H 0.000 0.000 0.000
H2 H 0.000 0.500 0.500
Pt1 Pt 0.500 0.500 0.500

[2]
# HPt3, optimized geometry, DFT GGA-PBE
# ΔE to the lowest computed polymorph = 0 meV per atom
data_HPt3
_symmetry_space_group_name_H-M 'I m m m'
_symmetry_Int_Tables_number 71
_symmetry_space_group_name_Hall '-I 2 2'
_cell_length_a 2.777
_cell_length_b 4.817
_cell_length_c 7.589
_cell_angle_alpha 90.00
_cell_angle_beta 90.00
_cell_angle_gamma 90.00
loop_
_atom_site_label
_atom_site_type_symbol
_atom_site_fract_x
_atom_site_fract_y
_atom_site_fract_z
H1 H 0.000 0.000 0.000
Pt1 Pt 0.000 0.000 0.500
Pt2 Pt 0.000 0.500 0.318

[3]
# HPt3, optimized geometry, DFT GGA-PBE
# ΔE to the lowest computed polymorph = 457 meV per atom
data_HPt3
_symmetry_space_group_name_H-M 'P 63/m m c'
_symmetry_Int_Tables_number 194
_symmetry_space_group_name_Hall '-P 6c 2c'
_cell_length_a 5.5166
_cell_length_b 5.5166
_cell_length_c 4.1835
_cell_angle_alpha 90.00
_cell_angle_beta 90.00
_cell_angle_gamma 120.00
loop_
_atom_site_label
_atom_site_type_symbol
_atom_site_fract_x
_atom_site_fract_y
_atom_site_fract_z
H1 H 0.3333 0.6667 0.2500
Pt1 Pt 0.1726 0.3451 0.7500

[4]
Entry from Alexandria: a relaxed structure of HPt (GGA-PBE).

The structure in CIF format:
```
data_HPt
_symmetry_space_group_name_H-M 'I -4 3 m'
_symmetry_Int_Tables_number 217
_symmetry_space_group_name_Hall 'I -4 2 3'
_cell_length_a 5.613
_cell_length_b 5.613
_cell_length_c 5.613
_cell_angle_alpha 90.00
_cell_angle_beta 90.00
_cell_angle_gamma 90.00
loop_
_atom_site_label
_atom_site_type_symbol
_atom_site_fract_x
_atom_site_fract_y
_atom_site_fract_z
H1 H 0.128 0.128 0.128
Pt1 Pt 0.196 0.196 0.804
```

Number 1: calculated total energy -0.250 Ry per atom. Number 2: calculated total energy -0.389 Ry per atom. Number 3: calculated total energy -0.355 Ry per atom. Number 4: calculated total energy -0.322 Ry per atom.